# Ba2AgW

Ba2AgW at its PBEsol-relaxed geometry (meta-GGA SCAN, Alexandria via LeMat-Bulk).

The space group is Imm2 (No. 44) and the conventional cell measures 3.329, 5.637 and 12.062 Å, with angles of 90.00, 90.00 and 90.00 degrees. The asymmetric unit holds Ba at (0.000, 0.000, 0.000), Ba at (0.000, 0.500, 0.202), Ag at (0.000, 0.000, 0.437) and W at (0.000, 0.500, 0.761).

As for the energy of formation: 1.006 eV per atom. As for the final energy: -44.03 eV/atom.


# OsAu2Br

OsAu2Br at its PBEsol-relaxed geometry (meta-GGA SCAN, Alexandria via LeMat-Bulk).

The space group is Pmmm (No. 47) and the conventional cell measures 2.698, 3.539 and 7.938 Å, with angles of 90.00, 90.00 and 90.00 degrees. The asymmetric unit holds Os at (0.000, 0.000, 0.000), Au at (0.500, 0.500, 0.202) and Br at (0.500, 0.000, 0.500).

As for the final energy: -56.70 eV/atom.


What are the V values for these records? In order: 28.296 18.951 Å³/atom.